[1]
Density functional theory data (GGA-PBE) for an optimized crystal structure of YW2Cl.

a b c (Å): 5.467 5.467 5.467
angles (deg): 143.61 118.84 73.30
Last column: magnetic moment on the atom in μB.
Element x y z (fractional)
Cl 0.224 0.724 0.500  0.02
W 0.999 0.999 0.000  -0.07
W 0.796 0.296 0.500  0.24
Y 0.481 0.481 0.000  0.06

Properties
M_tot = 0.37 μB/cell

***

[2]
Density functional theory data (GGA-PBE) for an optimized crystal structure of YWCl2.

a b c (Å): 4.622 3.287 5.507
angles (deg): 89.94 90.00 90.00
Element x y z (fractional)
Y 0.500 0.874 0.704
W 0.000 0.375 0.424
Cl 0.000 0.876 0.074
Cl 0.500 0.375 0.298

Properties
M_tot = 0.00 μB/cell

***

[3]
Density functional theory data (GGA-PBE) for an optimized crystal structure of YWCl2.

a b c (Å): 4.480 4.480 8.956
angles (deg): 75.52 75.52 90.00
Last column: magnetic moment on the atom in μB.
Element x y z (fractional)
Y 0.500 0.500 0.000  0.00
Y 0.250 0.750 0.500  0.00
W 0.000 0.000 0.000  0.34
W 0.750 0.250 0.500  0.34
Cl 0.659 0.125 0.250  0.00
Cl 0.091 0.625 0.250  0.00
Cl 0.375 0.341 0.750  0.00
Cl 0.875 0.909 0.750  0.00

Properties
M_tot = 0.97 μB/cell

***

[4]
Density functional theory data (GGA-PBE) for an optimized crystal structure of YW2Cl.

a b c (Å): 9.778 9.778 9.778
angles (deg): 17.57 17.57 17.57
Element x y z (fractional)
Cl 0.750 0.750 0.750
W 0.009 0.009 0.009
W 0.491 0.491 0.491
Y 0.250 0.250 0.250

Properties
M_tot = 0.00 μB/cell

***

[5]
Density functional theory data (GGA-PBE) for an optimized crystal structure of YWCl2.

a b c (Å): 10.340 10.340 3.170
angles (deg): 104.48 104.48 17.76
Element x y z (fractional)
Y 0.183 0.183 0.094
W 0.568 0.568 0.408
Cl 0.976 0.976 0.257
Cl 0.773 0.773 0.741

Properties
M_tot = 0.00 μB/cell

***

[6]
Density functional theory data (GGA-PBE) for an optimized crystal structure of YW2Cl.

a b c (Å): 3.543 3.543 6.282
angles (deg): 90.00 90.00 90.00
Element x y z (fractional)
Cl 0.500 0.500 0.750
W 0.000 0.000 0.946
W 0.000 0.000 0.554
Y 0.500 0.500 0.250

Properties
M_tot = 0.00 μB/cell

***

[7]
Density functional theory data (GGA-PBE) for an optimized crystal structure of YWCl.

a b c (Å): 4.521 4.521 4.521
angles (deg): 60.00 60.00 60.00
Last column: magnetic moment on the atom in μB.
Element x y z (fractional)
Cl 0.750 0.750 0.750  0.00
W 0.000 0.000 0.000  0.51
Y 0.500 0.500 0.500  0.00

Properties
M_tot = 0.66 μB/cell

***

[8]
Density functional theory data (GGA-PBE) for an optimized crystal structure of YW2Cl.

a b c (Å): 2.878 2.878 9.160
angles (deg): 90.00 90.00 90.00
Element x y z (fractional)
Cl 0.500 0.500 0.750
W 0.000 0.000 0.981
W 0.000 0.000 0.519
Y 0.500 0.500 0.250

Properties
M_tot = 0.00 μB/cell

***

[9]
Density functional theory data (GGA-PBE) for an optimized crystal structure of YWCl2.

a b c (Å): 10.927 10.927 10.927
angles (deg): 16.93 16.93 16.93
Last column: magnetic moment on the atom in μB.
Element x y z (fractional)
Y 0.750 0.750 0.750  -0.17
W 0.250 0.250 0.250  1.16
Cl 0.024 0.024 0.024  0.00
Cl 0.476 0.476 0.476  0.00

Properties
M_tot = 1.45 μB/cell

***

[10]
Density functional theory data (GGA-PBE) for an optimized crystal structure of YW2Cl.

a b c (Å): 9.452 9.452 9.452
angles (deg): 20.14 20.14 20.14
Element x y z (fractional)
Cl 0.761 0.761 0.761
W 0.983 0.983 0.983
W 0.257 0.257 0.257
Y 0.499 0.499 0.499

Properties
M_tot = 0.00 μB/cell

***

[11]
Density functional theory data (GGA-PBE) for an optimized crystal structure of YW2Cl.

a b c (Å): 4.743 4.743 4.743
angles (deg): 60.00 60.00 60.00
Element x y z (fractional)
Y 0.500 0.500 0.500
W 0.250 0.250 0.250
W 0.750 0.750 0.750
Cl 0.000 0.000 0.000

Properties
M_tot = 0.00 μB/cell

***

[12]
Density functional theory data (GGA-PBE) for an optimized crystal structure of YWCl2.

a b c (Å): 4.788 4.788 4.788
angles (deg): 60.00 60.00 60.00
Last column: magnetic moment on the atom in μB.
Element x y z (fractional)
Y 0.500 0.500 0.500  0.07
W 0.000 0.000 0.000  1.79
Cl 0.250 0.250 0.250  0.05
Cl 0.750 0.750 0.750  0.05

Properties
M_tot = 2.68 μB/cell

***

[13]
Density functional theory data (GGA-PBE) for an optimized crystal structure of YW2Cl.

a b c (Å): 4.677 4.677 9.057
angles (deg): 75.04 75.04 90.00
Element x y z (fractional)
Y 0.000 0.000 0.000
Y 0.750 0.250 0.500
W 0.465 0.125 0.250
W 0.285 0.625 0.250
W 0.375 0.535 0.750
W 0.875 0.715 0.750
Cl 0.500 0.500 0.000
Cl 0.250 0.750 0.500

Properties
M_tot = 0.00 μB/cell

***

[14]
Density functional theory data (GGA-PBE) for an optimized crystal structure of YWCl2.

a b c (Å): 9.517 9.517 9.517
angles (deg): 21.06 21.06 21.06
Element x y z (fractional)
Y 0.754 0.754 0.754
W 0.503 0.503 0.503
Cl 0.021 0.021 0.021
Cl 0.222 0.222 0.222

Properties
M_tot = 0.00 μB/cell

***

[15]
Density functional theory data (GGA-PBE) for an optimized crystal structure of YW2Cl.

a b c (Å): 4.736 4.736 4.736
angles (deg): 119.04 119.04 91.67
Element x y z (fractional)
Cl 0.750 0.250 0.500
W 0.000 0.000 0.000
W 0.250 0.750 0.500
Y 0.500 0.500 0.000

Properties
M_tot = 0.00 μB/cell

***

Number 1: D(E_F) 0.934 states/eV per atom, E above lowest polymorph 619 meV/atom. Number 2: D(E_F) 0.593 states/eV per atom, E above lowest polymorph 341 meV/atom. Number 3: D(E_F) 1.296 states/eV per atom, E above lowest polymorph 547 meV/atom. Number 4: D(E_F) 1.406 states/eV per atom, E above lowest polymorph 938 meV/atom. Number 5: D(E_F) 0.836 states/eV per atom, E above lowest polymorph 42 meV/atom. Number 6: D(E_F) 0.813 states/eV per atom, E above lowest polymorph 1237 meV/atom. Number 7: D(E_F) 1.296 states/eV per atom, E above lowest polymorph 761 meV/atom. Number 8: D(E_F) 0.862 states/eV per atom, E above lowest polymorph 1003 meV/atom. Number 9: D(E_F) 0.867 states/eV per atom, E above lowest polymorph 606 meV/atom. Number 10: D(E_F) 0.955 states/eV per atom, E above lowest polymorph 151 meV/atom. Number 11: D(E_F) 1.796 states/eV per atom, E above lowest polymorph 1688 meV/atom. Number 12: D(E_F) 0.839 states/eV per atom, E above lowest polymorph 886 meV/atom. Number 13: D(E_F) 0.526 states/eV per atom, E above lowest polymorph 1215 meV/atom. Number 14: D(E_F) 0.501 states/eV per atom, E above lowest polymorph 0 meV/atom. Number 15: D(E_F) 0.835 states/eV per atom, E above lowest polymorph 863 meV/atom.